Entry 1:
Computed, not measured: a geometry-optimized Pm5ThCu4 structure at the PBE level of DFT.

Cell and atoms, written as POSCAR:
```
Pm5ThCu4
1.0
3.5832 0.0000 0.0000
0.0000 3.5832 0.0000
0.0000 0.0000 19.1989
Pm Th Cu
5 1 4
Direct
0.0000 0.0000 0.0000
0.0000 0.0000 0.1853
0.0000 0.0000 0.3697
0.0000 0.0000 0.6303
0.0000 0.0000 0.8147
0.5000 0.5000 0.5000
0.5000 0.5000 0.0922
0.5000 0.5000 0.2752
0.5000 0.5000 0.7248
0.5000 0.5000 0.9078
```

Computed properties:
As for the theoretical density: 8.16 g/cm3. As for the formation enthalpy at 0 K: -121 meV/atom.

Entry 2:
Computed, not measured: a geometry-optimized DyYScAg structure at the PBE level of DFT.

Cell and atoms, written as POSCAR:
```
DyYScAg
1.0
0.0000 3.7270 3.7270
3.7270 0.0000 3.7270
3.7270 3.7270 0.0000
Dy Y Sc Ag
1 1 1 1
Direct
0.0000 0.0000 0.0000
0.5000 0.5000 0.5000
0.7500 0.7500 0.7500
0.2500 0.2500 0.2500
```

Computed properties:
As for the theoretical density: 6.48 g/cm3. As for the formation enthalpy at 0 K: 29 meV/atom.

Entry 3:
Computed, not measured: a geometry-optimized Mg2Ga2SiPt5 structure at the PBE level of DFT.

Cell and atoms, written as POSCAR:
```
Mg2Ga2SiPt5
1.0
10.1239 0.0000 0.0000
0.0000 10.1239 0.0000
0.0000 0.0000 3.1598
Mg Ga Si Pt
4 4 2 10
Direct
0.1644 0.3356 0.0000
0.3356 0.8356 0.0000
0.6644 0.1644 0.0000
0.8356 0.6644 0.0000
0.1413 0.6413 0.0000
0.3587 0.1413 0.0000
0.6413 0.8587 0.0000
0.8587 0.3587 0.0000
0.0000 0.0000 0.0000
0.5000 0.5000 0.0000
0.0000 0.5000 0.5000
0.0234 0.8011 0.5000
0.1989 0.0234 0.5000
0.3011 0.5234 0.5000
0.4766 0.3011 0.5000
0.5000 0.0000 0.5000
0.5234 0.6989 0.5000
0.6989 0.4766 0.5000
0.8011 0.9766 0.5000
0.9766 0.1989 0.5000
```

Computed properties:
For the uncorrected formation energy, the calculation gives -0.630 eV per atom. As for the theoretical density: 12.22 g/cm3.

Entry 4:
Computed, not measured: a geometry-optimized CeScH structure at the PBE level of DFT.

Cell and atoms, written as POSCAR:
```
CeScH
1.0
-1.5190 1.5190 5.9582
1.5190 -1.5190 5.9582
1.5190 1.5190 -5.9582
Ce Sc H
1 1 1
Direct
0.0000 0.0000 0.0000
0.7142 0.7142 0.0000
0.1892 0.1892 0.0000
```

Computed properties:
As for the theoretical density: 5.62 g/cm3. The calculation puts the total energy at -0.1945 hartree per atom.

- Which formula does entry 4 have?
  CeScH

- theoretical density of number 4 (CeScH)?
  5.62 g/cm3

- Which formula does entry 4 have?
  CeScH